Computed, not measured: crystalline ScAg3 at its relaxed geometry at the PBE level of DFT.

Properties
For the final energy, the calculation gives -3.77 eV per atom. For the magnetization, the calculation gives 0.00 μB/f.u. As for the space group: Cmmm (65).

a = 5.083 Å, b = 5.083 Å, c = 3.072 Å
α = 90.00°, β = 90.00°, γ = 107.04°
Sites, in units of the cell vectors:
Sc1 0.000 0.000 0.000
Ag1 0.000 0.500 0.500
Ag2 0.500 0.000 0.500
Ag3 0.500 0.500 0.000